Here is Tl2OsWAu after structural relaxation from Alexandria. Energies are from GGA-PBEsol.

Unit cell a=5.2546 b=5.2546 c=4.8771 alpha=90.00 beta=90.00 gamma=90.00
Space group P4/mmm (No. 123)
One atom of each set of equivalent atoms:
Tl 0.0000 0.5000 0.0000 x2
Os 0.0000 0.0000 0.5000 x1
W 0.5000 0.5000 0.0000 x1
Au 0.5000 0.5000 0.5000 x1

Properties
- Calculated formation energy: 11.40 eV/f.u.
- Calculated volume: 26.9 A^3/atom


Here is ZrAg3 after structural relaxation from Alexandria. Energies are from GGA-PBEsol.

Unit cell a=4.0905 b=4.1093 c=8.4051 alpha=90.00 beta=90.00 gamma=90.00
Space group Cmmm (No. 65)
One atom of each set of equivalent atoms:
Zr 0.0000 0.0000 0.0000 x2
Ag 0.0000 0.0000 0.5000 x2
Ag 0.0000 0.5000 0.2621 x4

Properties
- Calculated formation energy: -0.13 eV/f.u.
- Calculated volume: 17.7 A^3/atom


Here is CaYTl after structural relaxation from Alexandria. Energies are from GGA-PBEsol.

Unit cell a=6.8735 b=5.3022 c=9.2350 alpha=90.00 beta=90.00 gamma=90.00
Space group Pnma (No. 62)
One atom of each set of equivalent atoms:
Ca 0.0066 0.2500 0.2270 x4
Y 0.2152 0.2500 0.5821 x4
Tl 0.2471 0.2500 0.9141 x4

Properties
- Calculated formation energy: -1.24 eV/f.u.
- E above lowest polymorph: 0.0000 eV/atom
- Calculated volume: 28.0 A^3/atom


Here is Ga3HgB after structural relaxation from Alexandria. Energies are from GGA-PBEsol.

Unit cell a=5.0211 b=5.0211 c=5.0211 alpha=90.00 beta=90.00 gamma=90.00
Space group Pm-3m (No. 221)
One atom of each set of equivalent atoms:
Ga 0.0000 0.0000 0.5000 x3
Hg 0.0000 0.0000 0.0000 x1
B 0.5000 0.5000 0.5000 x1

Properties
- Calculated formation energy: 7.11 eV/f.u.
- Calculated volume: 25.3 A^3/atom


Here is IrRu2Rh after structural relaxation from Alexandria. Energies are from GGA-PBEsol.

Unit cell a=2.6728 b=2.6728 c=7.5754 alpha=90.00 beta=90.00 gamma=90.00
Space group P4mm (No. 99)
One atom of each set of equivalent atoms:
Ir 0.0000 0.0000 0.0000 x1
Ru 0.0000 0.0000 0.5057 x1
Ru 0.5000 0.5000 0.7513 x1
Rh 0.5000 0.5000 0.2567 x1

Properties
- Calculated formation energy: 0.06 eV/f.u.
- E above lowest polymorph: 0.0049 eV/atom
- Calculated volume: 13.5 A^3/atom


Here is Hf2BiH after structural relaxation from Alexandria. Energies are from GGA-PBEsol.

Unit cell a=5.6662 b=5.6662 c=9.6690 alpha=90.00 beta=90.00 gamma=90.00
Space group I4_1/amd (No. 141, origin choice 2)
One atom of each set of equivalent atoms:
Hf 0.0000 0.0000 0.0000 x8
Bi 0.0000 0.2500 0.3750 x4
H 0.0000 0.2500 0.8750 x4

Properties
- VASP energy: -7.069 eV/atom
- Calculated volume: 19.4 A^3/atom


Here is MgTa2Te after structural relaxation from Alexandria. Energies are from GGA-PBEsol.

Unit cell a=3.1127 b=3.1127 c=28.1211 alpha=90.00 beta=90.00 gamma=120.00
Space group R-3m (No. 166, hexagonal axes)
One atom of each set of equivalent atoms:
Mg 0.0000 0.0000 0.0000 x3
Ta 0.0000 0.0000 0.2456 x6
Te 0.0000 0.0000 0.5000 x3

Properties
- E above lowest polymorph: 0.1409 eV/atom
- Uncorrected formation energy: 40 kJ per mole of atoms
- Calculated volume: 19.7 A^3/atom


Here is BaSi after structural relaxation from Alexandria. Energies are from GGA-PBEsol.

Unit cell a=3.9649 b=3.9649 c=9.8932 alpha=90.00 beta=90.00 gamma=120.00
Space group P-3m1 (No. 164)
One atom of each set of equivalent atoms:
Ba 0.3333 0.6667 0.2098 x2
Si 0.3333 0.6667 0.5456 x2

Properties
- Uncorrected formation energy: -19 kJ per mole of atoms
- Calculated volume: 33.7 A^3/atom


Here is CdAg2Br after structural relaxation from Alexandria. Energies are from GGA-PBEsol.

Unit cell a=3.3325 b=4.3000 c=12.1346 alpha=90.00 beta=90.00 gamma=90.00
Space group Imm2 (No. 44)
One atom of each set of equivalent atoms:
Cd 0.0000 0.0000 0.0000 x2
Ag 0.0000 0.0000 0.5357 x2
Ag 0.0000 0.5000 0.8451 x2
Br 0.0000 0.5000 0.2435 x2

Properties
- Uncorrected formation energy: 0 kJ per mole of atoms
- Calculated volume: 21.7 A^3/atom


Here is CuIrCl after structural relaxation from Alexandria. Energies are from GGA-PBEsol.

Unit cell a=5.7018 b=5.7018 c=5.7018 alpha=90.00 beta=90.00 gamma=90.00
Space group F-43m (No. 216)
One atom of each set of equivalent atoms:
Cu 0.0000 0.0000 0.0000 x4
Ir 0.0000 0.0000 0.5000 x4
Cl 0.2500 0.2500 0.7500 x4

Properties
- Uncorrected formation energy: 125 kJ per mole of atoms
- Calculated volume: 15.4 A^3/atom


Here is ScTlW after structural relaxation from Alexandria. Energies are from GGA-PBEsol.

Unit cell a=6.4433 b=6.4433 c=6.4433 alpha=90.00 beta=90.00 gamma=90.00
Space group F-43m (No. 216)
One atom of each set of equivalent atoms:
Sc 0.0000 0.0000 0.0000 x4
Tl 0.2500 0.2500 0.7500 x4
W 0.0000 0.0000 0.5000 x4

Properties
- Calculated formation energy: 3.13 eV/f.u.
- E above lowest polymorph: 0.6807 eV/atom
- Calculated volume: 22.3 A^3/atom


Here is ScCoSi after structural relaxation from Alexandria. Energies are from GGA-PBEsol.

Unit cell a=4.0063 b=4.0063 c=3.1040 alpha=90.00 beta=90.00 gamma=120.00
Space group P-6m2 (No. 187)
One atom of each set of equivalent atoms:
Sc 0.0000 0.0000 0.0000 x1
Co 0.6667 0.3333 0.5000 x1
Si 0.3333 0.6667 0.5000 x1

Properties
- Uncorrected formation energy: -69 kJ per mole of atoms
- Calculated volume: 14.4 A^3/atom